VASP calculation (GGA-PBE) on crystalline InCuOs2 at its relaxed geometry.

Results
**Total energy**: -27.22 eV/cell
**Crystal system**: tetragonal
**Space group**: No. 119
**Total moment**: 0.0 μB per formula unit
**Formation energy**: 519 meV/atom
**Density of states at the Fermi level**: 3.677 states/eV per cell

Unit cell a=4.6292 b=4.6292 c=4.6292 alpha=127.08 beta=127.08 gamma=78.13
Fractional positions:
1 In 0.0000 0.0000 0.0000
2 Cu 0.7500 0.2500 0.5000
3 Os 0.2500 0.7500 0.5000
4 Os 0.5000 0.5000 0.0000

VASP calculation (GGA-PBE) on crystalline Al2TeP at its relaxed geometry.

Results
**Energy above the lowest structure with this stoichiometry**: 0.062 eV per atom
**Total energy**: -16.90 eV/cell
**Crystal system**: tetragonal
**Space group**: No. 99
**Total moment**: 0.0 μB per formula unit
**Energy relative to the elements, uncorrected**: -0.217 eV per atom
**Density of states at the Fermi level**: 1.027 states/eV per cell

Unit cell a=3.6993 b=3.6993 c=6.4003 alpha=90.00 beta=90.00 gamma=90.00
Fractional positions:
1 Al 0.0000 0.0000 0.0000
2 Al 0.5000 0.5000 0.4044
3 Te 0.5000 0.5000 0.8531
4 P 0.0000 0.0000 0.3676

VASP calculation (GGA-PBE) on crystalline LiGd2Ru at its relaxed geometry.

Results
**Energy above the lowest structure with this stoichiometry**: 0.180 eV per atom
**Total energy**: -39.56 eV/cell
**Crystal system**: trigonal
**Space group**: No. 166
**Total moment**: 14.4 μB per formula unit
**Formation energy**: -51 meV/atom
**Density of states at the Fermi level**: 2.193 states/eV per cell

Unit cell a=8.8675 b=8.8675 c=8.8675 alpha=25.54 beta=25.54 gamma=25.54
Fractional positions:
1 Li 0.0000 0.0000 0.0000
2 Gd 0.2270 0.2270 0.2270
3 Gd 0.7730 0.7730 0.7730
4 Ru 0.5000 0.5000 0.5000

VASP calculation (GGA-PBE) on crystalline SmTlAgPb at its relaxed geometry.

Results
**Energy above the lowest structure with this stoichiometry**: 0.131 eV per atom
**Total energy**: -14.23 eV/cell
**Crystal system**: cubic
**Space group**: No. 216
**Total moment**: 0.0 μB per formula unit
**Formation energy**: -146 meV/atom
**Density of states at the Fermi level**: 2.275 states/eV per cell

Unit cell a=5.3213 b=5.3213 c=5.3213 alpha=60.00 beta=60.00 gamma=60.00
Fractional positions:
1 Sm 0.0000 0.0000 0.0000
2 Tl 0.7500 0.7500 0.7500
3 Ag 0.2500 0.2500 0.2500
4 Pb 0.5000 0.5000 0.5000

VASP calculation (GGA-PBE) on crystalline NbAl3N at its relaxed geometry.

Results
**Energy above the lowest structure with this stoichiometry**: 1.875 eV per atom
**Total energy**: -20.48 eV/cell
**Crystal system**: cubic
**Space group**: No. 221
**Total moment**: 2.9 μB per formula unit
**Energy relative to the elements, uncorrected**: 1.829 eV per atom
**Density of states at the Fermi level**: 4.981 states/eV per cell

Unit cell a=5.1004 b=5.1004 c=5.1004 alpha=90.00 beta=90.00 gamma=90.00
Fractional positions:
1 Nb 0.0000 0.0000 0.0000
2 Al 0.0000 0.0000 0.5000
3 Al 0.0000 0.5000 0.0000
4 Al 0.5000 0.0000 0.0000
5 N 0.5000 0.5000 0.5000

VASP calculation (GGA-PBE) on crystalline Mg2TcNi at its relaxed geometry.

Results
**Energy above the lowest structure with this stoichiometry**: 0.031 eV per atom
**Total energy**: -18.95 eV/cell
**Crystal system**: tetragonal
**Space group**: No. 123
**Total moment**: 0.0 μB per formula unit
**Formation energy**: 97 meV/atom
**Density of states at the Fermi level**: 3.454 states/eV per cell

Unit cell a=2.7400 b=2.7400 c=7.9879 alpha=90.00 beta=90.00 gamma=90.00
Fractional positions:
1 Mg 0.0000 0.0000 0.2259
2 Mg 0.0000 0.0000 0.7741
3 Tc 0.5000 0.5000 0.5000
4 Ni 0.5000 0.5000 0.0000